# 1
VASP calculation (GGA+U) on a relaxed structure of TmCrIO4.

```
data_TmCrIO4
_cell_length_a 11.432
_cell_length_b 6.635
_cell_length_c 6.548
_cell_angle_alpha 90.00
_cell_angle_beta 102.37
_cell_angle_gamma 90.00
_space_group_name_H-M_alt 'C 1 2/m 1'
_space_group_IT_number 12
_space_group_name_Hall '-C 2y'
loop_
_atom_site_label
_atom_site_type_symbol
_atom_site_fract_x
_atom_site_fract_y
_atom_site_fract_z
Tm1 Tm 0.220 0.000 0.363
Cr1 Cr 0.132 0.000 0.772
I1 I 0.014 0.500 0.229
O1 O 0.018 0.000 0.274
O2 O 0.186 0.196 0.634
O3 O 0.203 0.000 0.022
```

Values from the calculation:
DFT total energy: -46.33 eV/f.u.

=====

# 2
VASP calculation (GGA+U) on a relaxed structure of SmNi2PbO6.

```
data_SmNi2PbO6
_cell_length_a 5.336
_cell_length_b 5.417
_cell_length_c 5.492
_cell_angle_alpha 119.31
_cell_angle_beta 117.12
_cell_angle_gamma 90.73
_space_group_name_H-M_alt 'P 1'
_space_group_IT_number 1
_space_group_name_Hall 'P 1'
loop_
_atom_site_label
_atom_site_type_symbol
_atom_site_fract_x
_atom_site_fract_y
_atom_site_fract_z
Sm1 Sm 0.000 0.000 0.000
Ni1 Ni 0.278 0.769 0.513
Ni2 Ni 0.766 0.260 0.498
Pb1 Pb 0.558 0.488 0.015
O1 O 0.164 0.554 0.016
O2 O 0.418 0.064 0.002
O3 O 0.585 0.568 0.650
O4 O 0.601 0.087 0.641
O5 O 0.931 0.934 0.366
O6 O 0.955 0.452 0.378
```

Values from the calculation:
DFT total energy: -58.17 eV/f.u.